1.
# LiAcN

A relaxed structure of LiAcN (PBE, Alexandria via LeMat-Bulk).

POSCAR file:
```
LiAcN
1.0
4.1533 0.0000 0.0000
0.0000 4.1533 0.0000
0.0000 0.0000 6.9544
Li Ac N
2 2 2
Cartesian
0.0000 0.0000 0.0000
2.0766 2.0766 3.4772
0.0000 0.0000 4.1912
2.0766 2.0766 0.7139
0.0000 0.0000 1.8500
2.0766 2.0766 5.3273
```

Results
The calculation puts the uncorrected formation energy at 7.0 kJ/mol of formula units. As for the density of states at the Fermi level: 1.909 states/eV/f.u.

2.
# Ac3InOs

A relaxed structure of Ac3InOs (PBE, Alexandria via LeMat-Bulk).

POSCAR file:
```
Ac3InOs
1.0
6.6257 -3.0271 0.0000
6.6257 3.0271 0.0000
-3.4242 0.0000 8.9645
Ac In Os
6 2 2
Cartesian
0.6144 0.0000 1.9536
-0.0893 0.0000 5.7918
4.6094 0.0000 0.8015
5.2178 0.0000 8.1629
9.9165 0.0000 3.1727
9.2128 0.0000 7.0109
3.4162 0.0000 4.8715
6.4110 0.0000 4.0930
-1.4481 0.0000 8.2944
11.2753 0.0000 0.6700
```

Results
The energy relative to the elements is -0.151 eV/atom. As for the density of states at the Fermi level: 3.742 states/eV/f.u.

3.
# Yb2CdGe

A relaxed structure of Yb2CdGe (PBE, Alexandria via LeMat-Bulk).

POSCAR file:
```
Yb2CdGe
1.0
7.3409 0.0000 0.0000
0.0000 7.3409 0.0000
0.0000 0.0000 7.3409
Yb Cd Ge
8 4 4
Cartesian
1.8352 1.8352 1.8352
1.8352 1.8352 5.5057
1.8352 5.5057 1.8352
1.8352 5.5057 5.5057
5.5057 1.8352 1.8352
5.5057 1.8352 5.5057
5.5057 5.5057 1.8352
5.5057 5.5057 5.5057
0.0000 0.0000 0.0000
0.0000 3.6705 3.6705
3.6705 0.0000 3.6705
3.6705 3.6705 0.0000
0.0000 0.0000 3.6705
0.0000 3.6705 0.0000
3.6705 0.0000 0.0000
3.6705 3.6705 3.6705
```

Results
The energy relative to the elements is -0.565 eV/atom. As for the density of states at the Fermi level: 24.231 states/eV/f.u.

> Which formula does entry 1 have?

LiAcN